[1]
{"formula": "BaNpPtO6", "functional": "GGA-PBE", "state": "relaxed", "spacegroup": "No. 149", "e_form_raw_ev_per_atom": -2.1118, "volume_a3_per_atom": 16.85, "cell": [[5.3896, 0.0000, 0.0000], [-2.6948, 4.6675, 0.0000], [0.0000, 0.0000, 6.0282]], "species": ["Ba", "Np", "Pt", "O", "O", "O", "O", "O", "O"], "frac_coords": [[0.0000, 0.0000, 0.0000], [0.6667, 0.3333, 0.5000], [0.3333, 0.6667, 0.5000], [0.0059, 0.3674, 0.6921], [0.0059, 0.6385, 0.3079], [0.3615, 0.3674, 0.3079], [0.3615, 0.9941, 0.6921], [0.6326, 0.6385, 0.6921], [0.6326, 0.9941, 0.3079]]}

[2]
{"formula": "Pm4Nd2Ho2Tm", "functional": "GGA-PBE", "state": "relaxed", "e_form_mev_per_atom": 21, "dos_ef_per_ev_cell": 14.15, "spacegroup": "No. 12", "volume_a3_per_atom": 33.31, "cell": [[7.6786, -2.5580, 0.0000], [7.6786, 2.5580, 0.0000], [-2.5625, 0.0000, 7.6316]], "species": ["Pm", "Pm", "Pm", "Pm", "Nd", "Nd", "Ho", "Ho", "Tm"], "frac_coords": [[0.0553, 0.0553, 0.3304], [0.2785, 0.2785, 0.6696], [0.7215, 0.7215, 0.3304], [0.9447, 0.9447, 0.6696], [0.3883, 0.3883, 0.3301], [0.6117, 0.6117, 0.6699], [0.1663, 0.1663, 0.0002], [0.8337, 0.8337, 0.9998], [0.5000, 0.5000, 0.0000]]}